No. 1
This record from Alexandria via LeMat-Bulk describes crystalline CoIrBr2 at its relaxed geometry. The functional is PBE.

Computed properties:
Relative energy among the computed polymorphs   688 meV/atom
Space group   Pmmm
Formation energy from raw total energies   0.94 eV/atom
Magnetic moment   2.7 μB per formula unit
V   19.67 Å³ per atom

The structure in POSCAR format:
```
CoIrBr2
1.0
3.110 0.000 0.000
0.000 6.138 0.000
0.000 0.000 4.123
Br Co Ir
2 1 1
Direct
0.000 0.000 0.000 Br
0.500 0.500 0.000 Br
0.500 0.000 0.500 Co
0.000 0.500 0.500 Ir
```



No. 2
This record from Alexandria via LeMat-Bulk describes crystalline Co2IrBr at its relaxed geometry. The functional is PBE.

Computed properties:
Relative energy among the computed polymorphs   335 meV/atom
Space group   Cmmm
Formation energy from raw total energies   0.77 eV/atom
Magnetic moment   4.2 μB per formula unit
V   14.29 Å³ per atom

The structure in POSCAR format:
```
Co2IrBr
1.0
4.538 0.106 0.000
-1.279 4.356 0.000
0.000 0.000 2.872
Br Co Ir
1 2 1
Direct
0.000 0.500 0.500 Br
0.000 0.000 0.000 Co
0.500 0.500 0.000 Co
0.500 0.000 0.500 Ir
```



Q: Look up the V of the second one.
A: 14.29 Å³ per atom



Q: Which value of magnetic moment does entry 2 give?
A: 4.2 μB per formula unit



Q: Number 2 is which compound?
A: Co2IrBr



Q: What is the formula in the second record?
A: Co2IrBr